Entry from Alexandria: Li2Sn5Pd12 after structural relaxation (PBE).

Cell lengths 7.8964, 7.8964, 9.2747 Å; angles 105.69, 105.69, 41.17 degrees
Closest atoms and distances in Å follow each position.
Fractional positions:
Li1 0.2450 0.7550 0.0000  2 Pd 2.68, 2 Li 2.72-2.83
Li2 0.7550 0.2450 0.0000  2 Pd 2.68, 2 Li 2.72-2.83
Sn1 0.0000 0.0000 0.5000  6 Pd 2.70-2.79
Sn2 0.3194 0.3194 0.6541  7 Pd 2.57-2.84
Sn3 0.3514 0.3514 0.1437  7 Pd 2.59-2.75
Sn4 0.6486 0.6486 0.8563  7 Pd 2.59-2.75
Sn5 0.6806 0.6806 0.3459  7 Pd 2.57-2.84
Pd1 0.0562 0.5665 0.8950  3 Sn 2.62-2.70, 1 Li 2.68, 3 Pd 2.72-2.83
Pd2 0.0957 0.5830 0.3957  4 Sn 2.67-2.84, 5 Pd 2.71-2.96
Pd3 0.1252 0.1252 0.3247  3 Sn 2.79-2.89, 4 Pd 2.83-2.87
Pd4 0.4170 0.9043 0.6043  4 Sn 2.67-2.84, 5 Pd 2.71-2.96
Pd5 0.4335 0.9438 0.1050  3 Sn 2.62-2.70, 1 Li 2.68, 3 Pd 2.72-2.83
Pd6 0.4910 0.4910 0.6416  2 Sn 2.57-2.59, 1 Pd 2.71
Pd7 0.5090 0.5090 0.3584  2 Sn 2.57-2.59, 1 Pd 2.71
Pd8 0.5665 0.0562 0.8950  3 Sn 2.62-2.70, 1 Li 2.68, 3 Pd 2.72-2.83
Pd9 0.5830 0.0957 0.3957  4 Sn 2.67-2.84, 5 Pd 2.71-2.96
Pd10 0.8748 0.8748 0.6753  3 Sn 2.79-2.89, 4 Pd 2.83-2.87
Pd11 0.9043 0.4170 0.6043  4 Sn 2.67-2.84, 5 Pd 2.71-2.96
Pd12 0.9438 0.4335 0.1050  3 Sn 2.62-2.70, 1 Li 2.68, 3 Pd 2.72-2.83

Energy, hartree per atom: -0.1804
Volume, A^3/atom: 19.184
DFT formation energy, eV per atom: -0.3755



Entry from Alexandria: CdRe2Au after structural relaxation (PBE).

Cell lengths 9.7263, 9.7263, 9.7263 Å; angles 16.75, 16.75, 16.75 degrees
Closest atoms and distances in Å follow each position.
Fractional positions:
Cd1 0.0000 0.0000 0.0000  6 Cd 2.83, 6 Re 2.95
Re1 0.2479 0.2479 0.2479  6 Re 2.83, 3 Au 2.85, 3 Cd 2.95
Re2 0.7521 0.7521 0.7521  6 Re 2.83, 3 Au 2.85, 3 Cd 2.95
Au1 0.5000 0.5000 0.5000  6 Au 2.83, 6 Re 2.85

Energy, hartree per atom: -0.2439
Volume, A^3/atom: 16.658
DFT formation energy, eV per atom: 0.6348